Entry 1:
LiIr2Pt PBE-GGA relaxed; mass density = 17.0 g cm⁻³; magnetic moment = 0.113 μB/atom; symmetry = No. 216
1.0
0.000 3.058 3.058
3.058 0.000 3.058
3.058 3.058 0.000
Li Pt Ir
1 1 2
Direct
0.500 0.500 0.500
0.250 0.250 0.250
0.000 0.000 0.000
0.750 0.750 0.750

=====

Entry 2:
Li4Si2IrPt PBE-GGA relaxed; mass density = 7.8 g cm⁻³; magnetic moment = 0.000 μB/atom; symmetry = No. 115
1.0
-2.812 -1.818 2.422
-0.167 -3.207 -2.601
4.272 -2.638 2.978
Si Li Ir Pt
2 4 1 1
Direct
0.000 0.500 0.263
0.500 0.000 0.737
0.500 0.000 0.248
0.000 0.000 0.000
0.000 0.500 0.752
0.500 0.500 0.500
0.000 0.000 0.500
0.500 0.500 0.000

=====

Entry 3:
Li2Zr2Sn2IrPt PBE-GGA relaxed; mass density = 9.8 g cm⁻³; magnetic moment = 0.004 μB/atom; symmetry = No. 115
1.0
-3.819 -0.670 -2.519
-1.884 -2.378 3.489
-2.542 5.517 2.387
Zr Pt Li Sn Ir
2 1 2 2 1
Direct
0.000 0.500 0.753
0.500 0.000 0.247
0.500 0.500 0.500
0.000 0.000 0.500
0.500 0.500 0.000
0.500 0.000 0.750
0.000 0.500 0.250
0.000 0.000 0.000

=====

Entry 4:
Li4Zn2IrPt PBE-GGA relaxed; mass density = 8.4 g cm⁻³; magnetic moment = 0.001 μB/atom; symmetry = No. 115
1.0
-3.326 -0.108 -2.622
0.316 -4.218 -0.227
-3.698 -0.531 4.713
Zn Pt Li Ir
2 1 4 1
Direct
0.500 0.000 0.758
0.000 0.500 0.242
0.500 0.500 0.500
0.500 0.500 0.000
0.000 0.500 0.750
0.500 0.000 0.250
0.000 0.000 0.500
0.000 0.000 0.000

=====

Entry 5:
Rb2LiIr3 PBE-GGA relaxed; mass density = 8.9 g cm⁻³; magnetic moment = 0.201 μB/atom; symmetry = No. 191
1.0
2.655 -4.603 0.000
2.655 4.603 0.000
0.000 0.000 5.786
Ir Rb Li
3 2 1
Direct
0.500 0.500 0.500
0.500 0.000 0.500
0.000 0.500 0.500
0.333 0.667 0.000
0.667 0.333 0.000
0.000 0.000 0.000

=====

Entry 6:
RbLiReIr PBE-GGA relaxed; polymorph energy (0 for the lowest one) = 0.83 eV/f.u.; mass density = 10.4 g cm⁻³; magnetic moment = 0.711 μB/atom; symmetry = No. 216
1.0
-1.676 -4.062 1.790
-2.321 0.010 4.138
-4.675 -0.798 0.099
Rb Ir Li Re
1 1 1 1
Direct
0.500 0.500 0.500
0.250 0.250 0.250
0.750 0.750 0.750
0.000 0.000 0.000

=====

Entry 7:
RbLiReIr PBE-GGA relaxed; polymorph energy (0 for the lowest one) = 0.00 eV/f.u.; mass density = 11.3 g cm⁻³; magnetic moment = 0.000 μB/atom; symmetry = No. 216
1.0
0.000 3.262 3.262
3.262 0.000 3.262
3.262 3.262 0.000
Ir Li Rb Re
1 1 1 1
Direct
0.000 0.000 0.000
0.750 0.750 0.750
0.500 0.500 0.500
0.250 0.250 0.250

=====

Entry 8:
RbLiReIr PBE-GGA relaxed; polymorph energy (0 for the lowest one) = 2.95 eV/f.u.; mass density = 10.2 g cm⁻³; magnetic moment = 0.819 μB/atom; symmetry = No. 216
1.0
0.000 3.366 3.366
3.366 0.000 3.366
3.366 3.366 0.000
Rb Li Re Ir
1 1 1 1
Direct
0.250 0.250 0.250
0.750 0.750 0.750
0.000 0.000 0.000
0.500 0.500 0.500

=====

Entry 9:
LiIr3S5 PBE-GGA relaxed; mass density = 6.6 g cm⁻³; magnetic moment = 0.042 μB/atom; symmetry = No. 191
1.0
-0.088 5.648 -1.000
-4.745 -3.126 -0.786
-1.734 1.072 6.206
S Ir Li
5 3 1
Direct
0.333 0.667 0.244
0.333 0.667 0.756
0.667 0.333 0.756
0.667 0.333 0.244
0.000 0.000 0.500
0.000 0.500 0.500
0.500 0.000 0.500
0.500 0.500 0.500
0.000 0.000 0.000

=====

Entry 10:
Li2TlIrS4 PBE-GGA relaxed; mass density = 4.8 g cm⁻³; magnetic moment = 0.000 μB/atom; symmetry = No. 82
1.0
-2.849 2.849 5.786
2.849 -2.849 5.786
2.849 2.849 -5.786
S Li Tl Ir
4 2 1 1
Direct
0.691 0.152 0.054
0.098 0.637 0.946
0.848 0.902 0.539
0.363 0.309 0.461
0.750 0.250 0.500
0.500 0.500 0.000
0.250 0.750 0.500
0.000 0.000 0.000

=====

Entry 11:
Li2Sb2Ir3 PBE-GGA relaxed; mass density = 12.0 g cm⁻³; magnetic moment = 0.000 μB/atom; symmetry = No. 160
1.0
2.187 1.262 6.982
-2.187 1.262 6.982
0.000 -2.525 6.982
Li Ir Sb
2 3 2
Direct
0.756 0.756 0.756
0.239 0.239 0.239
0.880 0.880 0.880
0.369 0.369 0.369
0.626 0.626 0.626
0.497 0.497 0.497
0.008 0.008 0.008

=====

Entry 12:
LiSbIr2 PBE-GGA relaxed; mass density = 13.6 g cm⁻³; magnetic moment = 0.001 μB/atom; symmetry = No. 216
1.0
0.000 3.153 3.153
3.153 0.000 3.153
3.153 3.153 0.000
Ir Li Sb
2 1 1
Direct
0.750 0.750 0.750
0.000 0.000 0.000
0.250 0.250 0.250
0.500 0.500 0.500

=====

Entry 13:
Li2ScIr PBE-GGA relaxed; mass density = 6.7 g cm⁻³; magnetic moment = 0.000 μB/atom; symmetry = No. 216
1.0
0.000 3.144 3.144
3.144 0.000 3.144
3.144 3.144 0.000
Ir Sc Li
1 1 2
Direct
0.500 0.500 0.500
0.750 0.750 0.750
0.000 0.000 0.000
0.250 0.250 0.250

=====

Entry 14:
LiSc2Ir PBE-GGA relaxed; mass density = 6.9 g cm⁻³; magnetic moment = 0.001 μB/atom; symmetry = No. 123
1.0
-1.887 -5.993 -1.800
6.243 -1.708 -0.858
0.317 -1.970 6.229
Sc Ir Li
8 4 4
Direct
0.000 0.500 0.250
0.000 0.000 0.750
0.500 0.500 0.750
0.000 0.500 0.750
0.500 0.000 0.250
0.500 0.000 0.750
0.500 0.500 0.250
0.000 0.000 0.250
0.750 0.250 0.500
0.250 0.750 0.500
0.750 0.250 0.000
0.250 0.750 0.000
0.250 0.250 0.000
0.250 0.250 0.500
0.750 0.750 0.000
0.750 0.750 0.500

=====

Entry 15:
LiScIr PBE-GGA relaxed; polymorph energy (0 for the lowest one) = 0.42 eV/f.u.; mass density = 7.1 g cm⁻³; magnetic moment = 0.001 μB/atom; symmetry = No. 216
1.0
-3.693 -1.961 1.112
-2.130 1.253 3.552
-3.763 2.105 -0.364
Sc Ir Li
1 1 1
Direct
0.000 0.000 0.000
0.250 0.250 0.250
0.750 0.750 0.750

=====

Entry 16:
LiSc2Ir PBE-GGA relaxed; mass density = 5.9 g cm⁻³; magnetic moment = 0.004 μB/atom; symmetry = No. 194
1.0
2.040 -3.533 0.000
2.040 3.533 0.000
0.000 0.000 11.240
Sc Li Ir
4 2 2
Direct
0.333 0.667 0.387
0.667 0.333 0.613
0.333 0.667 0.113
0.667 0.333 0.887
0.333 0.667 0.750
0.667 0.333 0.250
0.000 0.000 0.250
0.000 0.000 0.750

=====

Entry 17:
LiSc2Ir PBE-GGA relaxed; mass density = 6.4 g cm⁻³; magnetic moment = 0.000 μB/atom; symmetry = No. 194
1.0
2.379 -4.120 0.000
2.379 4.120 0.000
0.000 0.000 7.672
Sc Ir Li
4 2 2
Direct
0.333 0.667 0.916
0.667 0.333 0.084
0.667 0.333 0.416
0.333 0.667 0.584
0.667 0.333 0.750
0.333 0.667 0.250
0.000 0.000 0.000
0.000 0.000 0.500

=====

Entry 18:
LiSc2Ir PBE-GGA relaxed; mass density = 5.1 g cm⁻³; magnetic moment = 0.003 μB/atom; symmetry = No. 194
1.0
1.964 -3.402 0.000
1.964 3.402 0.000
0.000 0.000 14.206
Sc Ir Li
4 2 2
Direct
0.333 0.667 0.911
0.667 0.333 0.411
0.333 0.667 0.589
0.667 0.333 0.089
0.000 0.000 0.000
0.000 0.000 0.500
0.667 0.333 0.750
0.333 0.667 0.250

=====

Entry 19:
LiSc2Ir PBE-GGA relaxed; mass density = 6.9 g cm⁻³; magnetic moment = 0.002 μB/atom; symmetry = No. 123
1.0
-0.949 -0.905 4.433
4.185 -1.894 0.509
1.214 2.911 0.854
Li Ir Sc
1 1 2
Direct
0.000 0.000 0.000
0.500 0.500 0.000
0.000 0.500 0.500
0.500 0.000 0.500

=====

Entry 20:
Li2YScSn2Ir2 PBE-GGA relaxed; mass density = 8.9 g cm⁻³; magnetic moment = 0.004 μB/atom; symmetry = No. 115
1.0
-4.113 0.274 2.163
-1.743 -3.187 -2.911
1.859 -4.801 4.143
Li Ir Sn Sc Y
2 2 2 1 1
Direct
0.500 0.000 0.234
0.000 0.500 0.766
0.500 0.000 0.765
0.000 0.500 0.235
0.000 0.000 0.500
0.500 0.500 0.000
0.000 0.000 0.000
0.500 0.500 0.500

=====

We obtain E_tot values of -6.327 -4.778 -6.166 -3.526 -4.012 -4.577 -4.783 -4.046 -5.534 -4.371 -5.819 -5.892 -5.116 -6.396 -5.660 -6.038 -5.994 -6.148 -6.396 -5.980 eV per atom for the records listed above, in that order.